Arrangement a

BaTlP2 | PBE-GGA | optimized geometry

abc: 7.749 7.749 7.833
angles: 90.00 90.00 90.00
Space group I-42d (No. 122)
Inequivalent atoms, fractional coordinates:
Ba1 0.000 0.000 0.000
Tl1 0.000 0.000 0.500
P1 0.186 0.250 0.625

=====

Arrangement b

BaTlP2 | PBE-GGA | optimized geometry

abc: 4.214 4.214 6.465
angles: 90.00 90.00 90.00
Space group P4/mmm (No. 123)
Inequivalent atoms, fractional coordinates:
Ba1 0.000 0.000 0.000
Tl1 0.000 0.000 0.500
P1 0.500 0.500 0.331

=====

Which of them is the most stable, and which is the least stable? arrangement b and arrangement a, in that order.

=====

Arrangement a

BaTlP2 | PBE-GGA | optimized geometry

abc: 4.458 4.458 10.737
angles: 90.00 90.00 90.00
Space group I-4m2 (No. 119)
Inequivalent atoms, fractional coordinates:
Ba1 0.000 0.000 0.000
Tl1 0.000 0.500 0.250
P1 0.000 0.000 0.500
P2 0.000 0.500 0.750

=====

Arrangement b

BaTlP2 | PBE-GGA | optimized geometry

abc: 6.982 8.350 3.663
angles: 90.00 90.00 90.00
Space group Cmmm (No. 65)
Inequivalent atoms, fractional coordinates:
Ba1 0.000 0.000 0.000
Tl1 0.000 0.500 0.000
P1 0.250 0.250 0.500

=====

Which of them is the most stable, and which is the least stable? arrangement b and arrangement a, in that order.

=====

Arrangement a

BaTl2P2 | PBE-GGA | optimized geometry

abc: 4.668 4.668 13.113
angles: 90.00 90.00 90.00
Space group I4/mmm (No. 139)
Inequivalent atoms, fractional coordinates:
Ba1 0.000 0.000 0.000
Tl1 0.000 0.500 0.250
P1 0.000 0.000 0.418

=====

Arrangement b

BaTl2P2 | PBE-GGA | optimized geometry

abc: 5.243 5.243 10.115
angles: 90.00 90.00 90.00
Space group I4/mmm (No. 139)
Inequivalent atoms, fractional coordinates:
Ba1 0.000 0.000 0.000
Tl1 0.000 0.000 0.353
P1 0.000 0.500 0.250

=====

Arrangement c

BaTl2P2 | PBE-GGA | optimized geometry

abc: 8.036 8.036 4.654
angles: 90.00 90.00 90.00
Space group P4/mbm (No. 127)
Inequivalent atoms, fractional coordinates:
Ba1 0.000 0.000 0.000
Tl1 0.156 0.344 0.500
P1 0.096 0.596 0.000

=====

Which of them is the most stable, and which is the least stable? arrangement a and arrangement b, in that order.

=====

Arrangement a

Ba4TlP | PBE-GGA | optimized geometry

abc: 10.037 10.037 10.037
angles: 90.00 90.00 90.00
Space group F-43m (No. 216)
Inequivalent atoms, fractional coordinates:
Ba1 0.124 0.124 0.124
Tl1 0.000 0.000 0.500
P1 0.250 0.250 0.750

=====

Arrangement b

Ba4TlP | PBE-GGA | optimized geometry

abc: 10.591 15.162 7.926
angles: 90.00 122.03 90.00
Space group C2/c (No. 15)
Inequivalent atoms, fractional coordinates:
Ba1 0.109 0.164 0.071
Ba2 0.220 0.439 0.290
Tl1 0.000 0.364 0.750
P1 0.000 0.003 0.250

=====

Which of them is the most stable, and which is the least stable? arrangement b and arrangement a, in that order.

=====

Arrangement a

Ba2TlP2 | PBE-GGA | optimized geometry

abc: 8.153 8.153 4.625
angles: 90.00 90.00 90.00
Space group P4/mbm (No. 127)
Inequivalent atoms, fractional coordinates:
Ba1 0.183 0.317 0.000
Tl1 0.000 0.000 0.500
P1 0.097 0.597 0.500

=====

Arrangement b

Ba2TlP2 | PBE-GGA | optimized geometry

abc: 5.569 5.569 11.144
angles: 90.00 90.00 90.00
Space group I4/mmm (No. 139)
Inequivalent atoms, fractional coordinates:
Ba1 0.000 0.500 0.250
Tl1 0.000 0.000 0.000
P1 0.000 0.000 0.400

=====

Which of them is the most stable, and which is the least stable? arrangement a and arrangement b, in that order.

=====

Arrangement a

BaVP2 | PBE-GGA | optimized geometry

abc: 5.349 5.349 14.437
angles: 90.00 90.00 90.00
Space group I4_1/amd (No. 141, origin choice 2)
Inequivalent atoms, fractional coordinates:
Ba1 0.000 0.250 0.375
V1 0.000 0.250 0.875
P1 0.000 0.000 0.000

=====

Arrangement b

BaVP2 | PBE-GGA | optimized geometry

abc: 6.996 6.996 6.996
angles: 90.00 90.00 90.00
Space group Fm-3m (No. 225)
Inequivalent atoms, fractional coordinates:
Ba1 0.000 0.000 0.000
V1 0.000 0.000 0.500
P1 0.250 0.250 0.250

=====

Arrangement c

BaVP2 | PBE-GGA | optimized geometry

abc: 3.8163 3.8163 20.7180
angles: 90.00 90.00 120.00
Space group R-3m (No. 166, hexagonal axes)
Inequivalent atoms, fractional coordinates:
Ba1 0.0000 0.0000 0.0000
V1 0.0000 0.0000 0.5000
P1 0.0000 0.0000 0.2244

=====

Which of them is the most stable, and which is the least stable? arrangement a and arrangement b, in that order.

=====

Arrangement a

BaPW | PBE-GGA | optimized geometry

abc: 7.374 7.374 7.374
angles: 90.00 90.00 90.00
Space group F-43m (No. 216)
Inequivalent atoms, fractional coordinates:
Ba1 0.000 0.000 0.000
P1 0.250 0.250 0.750
W1 0.250 0.250 0.250

=====

Arrangement b

BaPW | PBE-GGA | optimized geometry

abc: 3.332 3.332 12.231
angles: 90.00 90.00 90.00
Space group I4mm (No. 107)
Inequivalent atoms, fractional coordinates:
Ba1 0.000 0.000 0.000
P1 0.000 0.000 0.720
W1 0.000 0.000 0.288

=====

Arrangement c

BaPW | PBE-GGA | optimized geometry

abc: 6.707 6.707 6.707
angles: 90.00 90.00 90.00
Space group F-43m (No. 216)
Inequivalent atoms, fractional coordinates:
Ba1 0.000 0.000 0.000
P1 0.250 0.250 0.750
W1 0.000 0.000 0.500

=====

Which of them is the most stable, and which is the least stable? arrangement b and arrangement a, in that order.

=====

Arrangement a

BaYP | PBE-GGA | optimized geometry

abc: 7.308 7.308 7.308
angles: 90.00 90.00 90.00
Space group F-43m (No. 216)
Inequivalent atoms, fractional coordinates:
Ba1 0.000 0.000 0.000
Y1 0.250 0.250 0.750
P1 0.250 0.250 0.250

=====

Arrangement b

BaYP | PBE-GGA | optimized geometry

abc: 4.1642 4.1642 38.4886
angles: 90.00 90.00 120.00
Space group P-3m1 (No. 164)
Inequivalent atoms, fractional coordinates:
Ba1 0.3333 0.6667 0.3407
Ba2 0.3333 0.6667 0.4396
Y1 0.3333 0.6667 0.7563
Y2 0.3333 0.6667 0.8395
P1 0.3333 0.6667 0.2005
P2 0.3333 0.6667 0.6089

=====

Which of them is the most stable, and which is the least stable? arrangement b and arrangement a, in that order.

=====

Arrangement a

BaYP | PBE-GGA | optimized geometry

abc: 4.1969 4.1969 7.2539
angles: 90.00 90.00 120.00
Space group P3m1 (No. 156)
Inequivalent atoms, fractional coordinates:
Ba1 0.0000 0.0000 0.0000
Y1 0.3333 0.6667 0.4700
P1 0.6667 0.3333 0.2902

=====

Arrangement b

BaYP | PBE-GGA | optimized geometry

abc: 3.841 3.841 13.174
angles: 90.00 90.00 90.00
Space group I4mm (No. 107)
Inequivalent atoms, fractional coordinates:
Ba1 0.000 0.000 0.000
Y1 0.000 0.000 0.259
P1 0.000 0.000 0.698

=====

Which of them is the most stable, and which is the least stable? arrangement a and arrangement b, in that order.

=====

Arrangement a

Ba3YP | PBE-GGA | optimized geometry

abc: 6.208 6.208 6.208
angles: 90.00 90.00 90.00
Space group Pm-3m (No. 221)
Inequivalent atoms, fractional coordinates:
Ba1 0.000 0.000 0.500
Y1 0.000 0.000 0.000
P1 0.500 0.500 0.500

=====

Arrangement b

Ba3YP | PBE-GGA | optimized geometry

abc: 6.299 6.299 6.299
angles: 90.00 90.00 90.00
Space group Pm-3m (No. 221)
Inequivalent atoms, fractional coordinates:
Ba1 0.000 0.000 0.500
Y1 0.500 0.500 0.500
P1 0.000 0.000 0.000

=====

Which of them is the most stable, and which is the least stable? arrangement b and arrangement a, in that order.

=====

Arrangement a

Ba2ZnP | PBE-GGA | optimized geometry

abc: 7.971 7.971 7.971
angles: 90.00 90.00 90.00
Space group Fm-3m (No. 225)
Inequivalent atoms, fractional coordinates:
Ba1 0.250 0.250 0.250
Zn1 0.000 0.000 0.000
P1 0.000 0.000 0.500

=====

Arrangement b

Ba2ZnP | PBE-GGA | optimized geometry

abc: 4.692 4.692 11.527
angles: 90.00 90.00 90.00
Space group I-4m2 (No. 119)
Inequivalent atoms, fractional coordinates:
Ba1 0.000 0.000 0.000
Ba2 0.000 0.500 0.250
Zn1 0.000 0.000 0.500
P1 0.000 0.500 0.750

=====

Arrangement c

Ba2ZnP | PBE-GGA | optimized geometry

abc: 7.860 7.860 7.860
angles: 90.00 90.00 90.00
Space group F-43m (No. 216)
Inequivalent atoms, fractional coordinates:
Ba1 0.000 0.000 0.000
Ba2 0.250 0.250 0.250
Zn1 0.250 0.250 0.750
P1 0.000 0.000 0.500

=====

Which of them is the most stable, and which is the least stable? arrangement a and arrangement c, in that order.